This record from Alexandria describes a relaxed Mn3CdPd6 crystal. The functional is GGA-PBE.

Values from the calculation:
**ΔH_f (0 K)**: -2.54 eV/f.u.
**V**: 15.7 A^3/atom

Cell lengths 8.3694, 4.1402, 9.0884 Å; angles 90.00, 95.82, 90.00 degrees
Space group P2_1/m (No. 11)
Inequivalent atoms, fractional coordinates:
Mn  0.0526  0.2500  0.3962 (multiplicity 2)
Mn  0.1526  0.7500  0.1883 (multiplicity 2)
Mn  0.2530  0.2500  0.9764 (multiplicity 2)
Cd  0.4439  0.2500  0.6061 (multiplicity 2)
Pd  0.0365  0.7500  0.8980 (multiplicity 2)
Pd  0.1259  0.2500  0.6905 (multiplicity 2)
Pd  0.2322  0.7500  0.4878 (multiplicity 2)
Pd  0.3347  0.2500  0.2824 (multiplicity 2)
Pd  0.3416  0.7500  0.7982 (multiplicity 2)
Pd  0.4400  0.7500  0.0931 (multiplicity 2)

This record from Alexandria describes a relaxed SrAc4Pt4 crystal. The functional is GGA-PBE.

Values from the calculation:
**ΔH_f (0 K)**: -9.40 eV/f.u.
**V**: 33.4 A^3/atom

Cell lengths 13.9745, 6.1568, 9.8795 Å; angles 90.00, 134.96, 90.00 degrees
Space group C2/m (No. 12)
Inequivalent atoms, fractional coordinates:
Sr  0.0000  0.0000  0.0000 (multiplicity 2)
Ac  0.1061  0.5000  0.7913 (multiplicity 4)
Ac  0.1851  0.0000  0.5792 (multiplicity 4)
Pt  0.1062  0.0000  0.8036 (multiplicity 4)
Pt  0.1971  0.5000  0.5907 (multiplicity 4)

This record from Alexandria describes a relaxed CaNd3Ag4 crystal. The functional is GGA-PBE.

Values from the calculation:
**ΔH_f (0 K)**: -2.23 eV/f.u.
**V**: 26.2 A^3/atom

Cell lengths 5.3008, 5.3008, 7.4581 Å; angles 90.00, 90.00, 90.00 degrees
Space group P4/mmm (No. 123)
Inequivalent atoms, fractional coordinates:
Ca  0.0000  0.0000  0.0000 (multiplicity 1)
Nd  0.0000  0.0000  0.5000 (multiplicity 1)
Nd  0.5000  0.5000  0.0000 (multiplicity 1)
Nd  0.5000  0.5000  0.5000 (multiplicity 1)
Ag  0.0000  0.5000  0.2508 (multiplicity 4)